(1)
# Hg3Mo4 GGA-PBE relaxed
data_Hg3Mo4
_chemical_formula_sum 'Hg3 Mo4'
_space_group_name_H-M_alt 'P 1'
_space_group_IT_number 1
_space_group_name_Hall 'P 1'
_cell_length_a 5.407
_cell_length_b 5.407
_cell_length_c 5.070
_cell_angle_alpha 90.00
_cell_angle_beta 90.00
_cell_angle_gamma 120.00
loop_
_atom_site_label
_atom_site_type_symbol
_atom_site_fract_x
_atom_site_fract_y
_atom_site_fract_z
_atom_site_occupancy
Hg1 Hg 0.000 0.500 0.000 1
Hg2 Hg 0.500 0.000 0.000 1
Hg3 Hg 0.500 0.500 0.000 1
Mo1 Mo 0.000 0.000 0.286 1
Mo2 Mo 0.000 0.000 0.714 1
Mo3 Mo 0.333 0.667 0.500 1
Mo4 Mo 0.667 0.333 0.500 1
# energy relative to the lowest polymorph listed for this composition: 41.7 kJ per mole of atoms
# formation energy from the elements: 5.90 eV/f.u.
# total DFT energy (no corrections): -5.48 eV per atom
# SG: P6/mmm
# ρ: 12.7 g/cm3
# crystal system: hexagonal


(2)
# Hg3Mo GGA-PBE relaxed
data_Hg3Mo
_chemical_formula_sum 'Hg3 Mo1'
_space_group_name_H-M_alt 'P 1'
_space_group_IT_number 1
_space_group_name_Hall 'P 1'
_cell_length_a 2.974
_cell_length_b 4.406
_cell_length_c 6.219
_cell_angle_alpha 90.00
_cell_angle_beta 90.00
_cell_angle_gamma 90.00
loop_
_atom_site_label
_atom_site_type_symbol
_atom_site_fract_x
_atom_site_fract_y
_atom_site_fract_z
_atom_site_occupancy
Hg1 Hg 0.000 0.000 0.000 1
Hg2 Hg 0.500 0.500 0.269 1
Hg3 Hg 0.500 0.500 0.731 1
Mo1 Mo 0.000 0.000 0.500 1
# energy relative to the lowest polymorph listed for this composition: 30.1 kJ per mole of atoms
# formation energy from the elements: 2.48 eV/f.u.
# total DFT energy (no corrections): -2.31 eV per atom
# SG: Pmmm
# ρ: 14.2 g/cm3
# crystal system: orthorhombic


(3)
# HgMo5 GGA-PBE relaxed
data_HgMo5
_chemical_formula_sum 'Hg1 Mo5'
_space_group_name_H-M_alt 'P 1'
_space_group_IT_number 1
_space_group_name_Hall 'P 1'
_cell_length_a 5.493
_cell_length_b 5.493
_cell_length_c 5.493
_cell_angle_alpha 53.91
_cell_angle_beta 53.91
_cell_angle_gamma 53.91
loop_
_atom_site_label
_atom_site_type_symbol
_atom_site_fract_x
_atom_site_fract_y
_atom_site_fract_z
_atom_site_occupancy
Hg1 Hg 0.000 0.000 0.000 1
Mo1 Mo 0.158 0.500 0.842 1
Mo2 Mo 0.355 0.355 0.355 1
Mo3 Mo 0.500 0.842 0.158 1
Mo4 Mo 0.645 0.645 0.645 1
Mo5 Mo 0.842 0.158 0.500 1
# energy relative to the lowest polymorph listed for this composition: 6.4 kJ per mole of atoms
# formation energy from the elements: 2.71 eV/f.u.
# total DFT energy (no corrections): -8.62 eV per atom
# SG: R32
# ρ: 11.2 g/cm3
# crystal system: trigonal


(4)
# HgMo GGA-PBE relaxed
data_HgMo
_chemical_formula_sum 'Hg1 Mo1'
_space_group_name_H-M_alt 'P 1'
_space_group_IT_number 1
_space_group_name_Hall 'P 1'
_cell_length_a 3.301
_cell_length_b 3.301
_cell_length_c 3.301
_cell_angle_alpha 90.00
_cell_angle_beta 90.00
_cell_angle_gamma 90.00
loop_
_atom_site_label
_atom_site_type_symbol
_atom_site_fract_x
_atom_site_fract_y
_atom_site_fract_z
_atom_site_occupancy
Hg1 Hg 0.000 0.000 0.000 1
Mo1 Mo 0.500 0.500 0.500 1
# energy relative to the lowest polymorph listed for this composition: 43.2 kJ per mole of atoms
# formation energy from the elements: 1.73 eV/f.u.
# total DFT energy (no corrections): -4.70 eV per atom
# SG: Pm-3m
# ρ: 13.7 g/cm3
# crystal system: cubic


(5)
# Hg2Mo GGA-PBE relaxed
data_Hg2Mo
_chemical_formula_sum 'Hg4 Mo2'
_space_group_name_H-M_alt 'P 1'
_space_group_IT_number 1
_space_group_name_Hall 'P 1'
_cell_length_a 8.709
_cell_length_b 8.709
_cell_length_c 4.750
_cell_angle_alpha 90.00
_cell_angle_beta 90.00
_cell_angle_gamma 160.62
loop_
_atom_site_label
_atom_site_type_symbol
_atom_site_fract_x
_atom_site_fract_y
_atom_site_fract_z
_atom_site_occupancy
Hg1 Hg 0.103 0.897 0.750 1
Hg2 Hg 0.204 0.796 0.250 1
Hg3 Hg 0.796 0.204 0.750 1
Hg4 Hg 0.897 0.103 0.250 1
Mo1 Mo 0.458 0.542 0.750 1
Mo2 Mo 0.542 0.458 0.250 1
# energy relative to the lowest polymorph listed for this composition: 21.4 kJ per mole of atoms
# formation energy from the elements: 1.48 eV/f.u.
# total DFT energy (no corrections): -3.32 eV per atom
# SG: Cmcm
# ρ: 13.8 g/cm3
# crystal system: orthorhombic


(6)
# Hg2Mo GGA-PBE relaxed
data_Hg2Mo
_chemical_formula_sum 'Hg4 Mo2'
_space_group_name_H-M_alt 'P 1'
_space_group_IT_number 1
_space_group_name_Hall 'P 1'
_cell_length_a 5.256
_cell_length_b 5.256
_cell_length_c 4.890
_cell_angle_alpha 90.00
_cell_angle_beta 90.00
_cell_angle_gamma 120.00
loop_
_atom_site_label
_atom_site_type_symbol
_atom_site_fract_x
_atom_site_fract_y
_atom_site_fract_z
_atom_site_occupancy
Hg1 Hg 0.000 0.000 0.000 1
Hg2 Hg 0.000 0.633 0.500 1
Hg3 Hg 0.367 0.367 0.500 1
Hg4 Hg 0.633 0.000 0.500 1
Mo1 Mo 0.333 0.667 0.000 1
Mo2 Mo 0.667 0.333 0.000 1
# energy relative to the lowest polymorph listed for this composition: 29.2 kJ per mole of atoms
# formation energy from the elements: 1.73 eV/f.u.
# total DFT energy (no corrections): -3.24 eV per atom
# SG: P-62m
# ρ: 14.1 g/cm3
# crystal system: hexagonal


(7)
# HgMo GGA-PBE relaxed
data_HgMo
_chemical_formula_sum 'Hg8 Mo8'
_space_group_name_H-M_alt 'P 1'
_space_group_IT_number 1
_space_group_name_Hall 'P 1'
_cell_length_a 4.999
_cell_length_b 6.010
_cell_length_c 10.003
_cell_angle_alpha 90.00
_cell_angle_beta 90.00
_cell_angle_gamma 90.00
loop_
_atom_site_label
_atom_site_type_symbol
_atom_site_fract_x
_atom_site_fract_y
_atom_site_fract_z
_atom_site_occupancy
Hg1 Hg 0.136 0.237 0.364 1
Hg2 Hg 0.140 0.035 0.633 1
Hg3 Hg 0.360 0.965 0.133 1
Hg4 Hg 0.364 0.763 0.864 1
Hg5 Hg 0.636 0.263 0.636 1
Hg6 Hg 0.640 0.465 0.367 1
Hg7 Hg 0.860 0.535 0.867 1
Hg8 Hg 0.864 0.737 0.136 1
Mo1 Mo 0.150 0.550 0.613 1
Mo2 Mo 0.153 0.742 0.400 1
Mo3 Mo 0.347 0.258 0.900 1
Mo4 Mo 0.350 0.450 0.113 1
Mo5 Mo 0.650 0.950 0.387 1
Mo6 Mo 0.653 0.758 0.600 1
Mo7 Mo 0.847 0.242 0.100 1
Mo8 Mo 0.850 0.050 0.887 1
# energy relative to the lowest polymorph listed for this composition: 14.6 kJ per mole of atoms
# formation energy from the elements: 1.14 eV/f.u.
# total DFT energy (no corrections): -5.00 eV per atom
# SG: P2_12_12_1
# ρ: 13.1 g/cm3
# crystal system: orthorhombic


(8)
# HgMo GGA-PBE relaxed
data_HgMo
_chemical_formula_sum 'Hg4 Mo4'
_space_group_name_H-M_alt 'P 1'
_space_group_IT_number 1
_space_group_name_Hall 'P 1'
_cell_length_a 6.607
_cell_length_b 6.526
_cell_length_c 5.641
_cell_angle_alpha 65.31
_cell_angle_beta 63.82
_cell_angle_gamma 50.87
loop_
_atom_site_label
_atom_site_type_symbol
_atom_site_fract_x
_atom_site_fract_y
_atom_site_fract_z
_atom_site_occupancy
Hg1 Hg 0.047 0.703 0.047 1
Hg2 Hg 0.297 0.953 0.297 1
Hg3 Hg 0.703 0.047 0.703 1
Hg4 Hg 0.953 0.297 0.953 1
Mo1 Mo 0.232 0.518 0.518 1
Mo2 Mo 0.482 0.768 0.768 1
Mo3 Mo 0.518 0.232 0.232 1
Mo4 Mo 0.768 0.482 0.482 1
# energy relative to the lowest polymorph listed for this composition: 48.4 kJ per mole of atoms
# formation energy from the elements: 1.84 eV/f.u.
# total DFT energy (no corrections): -4.65 eV per atom
# SG: Fddd
# ρ: 11.9 g/cm3
# crystal system: orthorhombic


Which of these has the lowest ρ?
HgMo5